No. 1
Material: Mg2Tl2Pb7
Method: DFT, PBE
State: relaxed

abc: 7.677 7.677 6.232
angles: 75.83 75.83 97.92
Fractional positions:
Mg 0.250 0.750 0.000
Mg 0.750 0.250 0.000
Tl 0.602 0.602 0.689
Tl 0.398 0.398 0.311
Pb 0.578 0.077 0.687
Pb 0.923 0.422 0.313
Pb 0.422 0.923 0.313
Pb 0.077 0.578 0.687
Pb 0.000 0.000 0.500
Pb 0.182 0.182 0.921
Pb 0.818 0.818 0.079

## Properties
- ρ (g cm⁻³) = 9.38
- E_form (meV per atom) = 40.0
- excess energy over the best structure of this formula in the dataset (meV per atom) = 22
- E_tot (Ry per atom) = -0.223

***

No. 2
Material: MgTlPb
Method: DFT, PBE
State: relaxed

abc: 5.904 5.904 5.904
angles: 145.05 134.68 58.48
Fractional positions:
Pb 0.339 0.339 0.000
Tl 0.662 0.662 0.000
Mg 0.999 0.999 0.000

## Properties
- ρ (g cm⁻³) = 8.71
- E_form (meV per atom) = -8.0
- excess energy over the best structure of this formula in the dataset (meV per atom) = 11
- E_tot (Ry per atom) = -0.188

***

No. 3
Material: Mg4Tl4Pb3
Method: DFT, PBE
State: relaxed

abc: 5.084 6.731 9.730
angles: 90.00 90.00 112.19
Fractional positions:
Mg 0.756 0.511 0.783
Mg 0.756 0.511 0.217
Mg 0.901 0.803 0.500
Mg 0.941 0.881 0.000
Tl 0.641 0.282 0.500
Tl 0.566 0.132 0.000
Tl 0.091 0.182 0.726
Tl 0.091 0.182 0.274
Pb 0.395 0.789 0.310
Pb 0.395 0.789 0.690
Pb 0.267 0.535 0.000

## Properties
- ρ (g cm⁻³) = 8.28
- E_form (meV per atom) = 23.9
- excess energy over the best structure of this formula in the dataset (meV per atom) = 17
- E_tot (Ry per atom) = -0.178

***

No. 4
Material: Mg12Tl2Pb5
Method: DFT, PBE
State: relaxed

abc: 6.371 9.138 10.023
angles: 103.95 90.00 110.40
Fractional positions:
Mg 0.102 0.205 0.291
Mg 0.046 0.612 0.892
Mg 0.566 0.612 0.892
Mg 0.094 0.686 0.398
Mg 0.592 0.686 0.398
Mg 0.490 0.980 0.646
Mg 0.510 0.020 0.354
Mg 0.906 0.314 0.602
Mg 0.408 0.314 0.602
Mg 0.954 0.388 0.108
Mg 0.434 0.388 0.108
Mg 0.898 0.795 0.709
Tl 0.750 0.000 0.000
Tl 0.250 0.000 0.000
Pb 0.316 0.632 0.645
Pb 0.353 0.705 0.146
Pb 0.000 0.000 0.500
Pb 0.647 0.295 0.854
Pb 0.684 0.368 0.355

## Properties
- ρ (g cm⁻³) = 5.46
- E_form (meV per atom) = 41.2
- excess energy over the best structure of this formula in the dataset (meV per atom) = 40
- E_tot (Ry per atom) = -0.161

***

No. 5
Material: Mg3TlPb
Method: DFT, PBE
State: relaxed

abc: 5.492 6.395 8.020
angles: 106.08 110.02 90.00
Fractional positions:
Mg 0.999 0.744 0.998
Mg 0.001 0.256 0.002
Mg 0.399 0.066 0.797
Mg 0.601 0.934 0.203
Mg 0.198 0.646 0.396
Mg 0.802 0.354 0.604
Tl 0.598 0.426 0.197
Tl 0.402 0.574 0.803
Pb 0.809 0.862 0.618
Pb 0.191 0.138 0.382

## Properties
- ρ (g cm⁻³) = 6.36
- E_form (meV per atom) = -23.0
- excess energy over the best structure of this formula in the dataset (meV per atom) = 0
- E_tot (Ry per atom) = -0.161

***

No. 6
Material: MgTl4Pb10
Method: DFT, PBE
State: relaxed

abc: 9.179 8.701 8.701
angles: 73.85 58.17 58.17
Fractional positions:
Mg 0.000 0.000 0.000
Tl 0.458 0.803 0.280
Tl 0.739 0.720 0.803
Tl 0.261 0.280 0.197
Tl 0.542 0.197 0.720
Pb 0.250 0.500 0.500
Pb 0.700 0.324 0.904
Pb 0.976 0.096 0.324
Pb 0.396 0.904 0.676
Pb 0.928 0.676 0.096
Pb 0.300 0.676 0.096
Pb 0.750 0.500 0.500
Pb 0.072 0.324 0.904
Pb 0.604 0.096 0.324
Pb 0.024 0.904 0.676

## Properties
- ρ (g cm⁻³) = 9.65
- E_form (meV per atom) = 109.9
- E_tot (Ry per atom) = -0.228

***

Number 1: total magnetization 0.000 μB per atom, DOS(E_F) 5.42 states/eV per cell. Number 2: total magnetization 0.000 μB per atom, DOS(E_F) 0.85 states/eV per cell. Number 3: total magnetization 0.000 μB per atom, DOS(E_F) 4.64 states/eV per cell. Number 4: total magnetization 0.000 μB per atom, DOS(E_F) 6.44 states/eV per cell. Number 5: total magnetization 0.000 μB per atom, DOS(E_F) 3.16 states/eV per cell. Number 6: total magnetization 0.000 μB per atom, DOS(E_F) 7.98 states/eV per cell.